Entry 1:
Density functional theory data (GGA-PBE) for a geometry-optimized RbTaGa2 structure.

Cell and atoms, written as extended XYZ:
```
4
Lattice="0.000 3.570 3.570 3.570 0.000 3.570 3.570 3.570 0.000" Properties=species:S:1:pos:R:3 pbc="T T T"
Rb 0.000 0.000 0.000
Ta 3.570 3.570 3.570
Ga 1.785 1.785 1.785
Ga 5.354 5.354 5.354
```

## Properties
Crystal system: cubic
ΔH_f (0 K) in eV/atom: 0.966
Total moment in Bohr magnetons per cell: 0.000
Excess energy over the best structure of this formula in the dataset in eV per formula unit: 0.658

***

Entry 2:
Density functional theory data (GGA-PBE) for a geometry-optimized RbTaGa3 structure.

Cell and atoms, written as extended XYZ:
```
5
Lattice="5.295 0.000 0.000 0.000 5.295 0.000 0.000 0.000 5.295" Properties=species:S:1:pos:R:3 pbc="T T T"
Rb 0.000 0.000 0.000
Ta 2.648 2.648 2.648
Ga 0.000 0.000 2.648
Ga 0.000 2.648 0.000
Ga 2.648 0.000 0.000
```

## Properties
Crystal system: cubic
ΔH_f (0 K) in eV/atom: 2.132
Total moment in Bohr magnetons per cell: 0.004
Excess energy over the best structure of this formula in the dataset in eV per formula unit: 9.466

***

Entry 3:
Density functional theory data (GGA-PBE) for a geometry-optimized RbTaGa2 structure.

Cell and atoms, written as extended XYZ:
```
8
Lattice="-3.010 3.010 8.271 3.010 -3.010 8.271 3.010 3.010 -8.271" Properties=species:S:1:pos:R:3 pbc="T T T"
Rb 0.000 0.000 0.000
Rb 0.000 3.010 4.136
Ta 3.010 0.000 4.136
Ta 0.000 0.000 8.271
Ga 1.505 -0.302 6.203
Ga 2.708 1.505 2.068
Ga 1.505 3.312 -2.068
Ga 0.302 1.505 10.339
```

## Properties
Crystal system: tetragonal
ΔH_f (0 K) in eV/atom: 0.802
Total moment in Bohr magnetons per cell: 0.000
Excess energy over the best structure of this formula in the dataset in eV per formula unit: 0.000

***

Entry 4:
Density functional theory data (GGA-PBE) for a geometry-optimized RbTaGa3 structure.

Cell and atoms, written as extended XYZ:
```
5
Lattice="5.204 0.000 0.000 0.000 5.204 0.000 0.000 0.000 5.204" Properties=species:S:1:pos:R:3 pbc="T T T"
Rb 0.000 0.000 0.000
Ta 2.602 2.602 2.602
Ga 0.000 2.602 2.602
Ga 2.602 0.000 2.602
Ga 2.602 2.602 0.000
```

## Properties
Crystal system: cubic
ΔH_f (0 K) in eV/atom: 0.239
Total moment in Bohr magnetons per cell: 0.000
Excess energy over the best structure of this formula in the dataset in eV per formula unit: 0.000

***

Entry 5:
Density functional theory data (GGA-PBE) for a geometry-optimized RbTa2Ga structure.

Cell and atoms, written as extended XYZ:
```
8
Lattice="-2.526 2.526 9.846 2.526 -2.526 9.846 2.526 2.526 -9.846" Properties=species:S:1:pos:R:3 pbc="T T T"
Rb 2.526 1.263 2.461
Rb 0.000 1.263 7.384
Ta 0.000 0.000 0.000
Ta 1.263 1.263 -4.923
Ta 1.263 -1.263 4.923
Ta 0.000 2.526 0.000
Ga 2.526 -1.263 7.384
Ga 0.000 3.790 2.461
```

## Properties
Crystal system: tetragonal
ΔH_f (0 K) in eV/atom: 1.418
Total moment in Bohr magnetons per cell: 0.000

***

Entry 6:
Density functional theory data (GGA-PBE) for a geometry-optimized RbTa3Ga structure.

Cell and atoms, written as extended XYZ:
```
5
Lattice="4.803 0.000 0.000 0.000 4.803 0.000 0.000 0.000 4.803" Properties=species:S:1:pos:R:3 pbc="T T T"
Rb 0.000 0.000 0.000
Ta 0.000 0.000 2.402
Ta 0.000 2.402 0.000
Ta 2.402 0.000 0.000
Ga 2.402 2.402 2.402
```

## Properties
Crystal system: cubic
ΔH_f (0 K) in eV/atom: 3.101
Total moment in Bohr magnetons per cell: 0.000
Excess energy over the best structure of this formula in the dataset in eV per formula unit: 6.359

***

Entry 7:
Density functional theory data (GGA-PBE) for a geometry-optimized RbTa3Ga structure.

Cell and atoms, written as extended XYZ:
```
5
Lattice="4.992 0.000 0.000 0.000 4.992 0.000 0.000 0.000 4.992" Properties=species:S:1:pos:R:3 pbc="T T T"
Rb 0.000 0.000 0.000
Ta 0.000 2.496 2.496
Ta 2.496 0.000 2.496
Ta 2.496 2.496 0.000
Ga 2.496 2.496 2.496
```

## Properties
Crystal system: cubic
ΔH_f (0 K) in eV/atom: 1.829
Total moment in Bohr magnetons per cell: 0.000
Excess energy over the best structure of this formula in the dataset in eV per formula unit: 0.000

***

Entry 8:
Density functional theory data (GGA-PBE) for a geometry-optimized RbTbGaTe3 structure.

Cell and atoms, written as extended XYZ:
```
12
Lattice="9.887 0.000 0.000 0.000 4.560 0.000 -3.100 0.000 10.396" Properties=species:S:1:pos:R:3 pbc="T T T"
Rb 1.214 1.140 2.505
Rb 5.572 3.420 7.891
Tb 0.691 3.420 9.041
Tb 6.096 1.140 1.355
Ga -1.137 1.140 6.372
Ga 7.923 3.420 4.024
Te -1.475 1.140 9.079
Te 0.403 3.420 5.804
Te 4.004 3.420 1.693
Te 2.782 1.140 8.703
Te 6.384 1.140 4.592
Te 8.261 3.420 1.317
```

## Properties
Crystal system: monoclinic
ΔE_f (raw) in eV per formula unit: -5.8
Total moment in Bohr magnetons per cell: 0.000

***

Summary of theoretical density in g/cm3
7.409 5.319 4.497 5.603 6.832 10.460 9.319 4.938
(order as listed above)